#a
Crystalline Ba2PH at its relaxed geometry, computed with PBE.

The calculation puts the total magnetization at 0.00 μB per formula unit.

It has space group P4/mmm (No. 123), with a = 3.868 Å, b = 3.868 Å, c = 7.641 Å, α = 90.00°, β = 90.00° and γ = 90.00°. Symmetry generates all atoms from Ba at (0.000, 0.000, 0.231), P at (0.500, 0.500, 0.000) and H at (0.500, 0.500, 0.500).

#b
Crystalline Ba2PH at its relaxed geometry, computed with PBE.

The calculation puts the total magnetization at 0.00 μB per formula unit.

It has space group I-42d (No. 122), with a = 6.317 Å, b = 6.317 Å, c = 14.730 Å, α = 90.00°, β = 90.00° and γ = 90.00°. Symmetry generates all atoms from Ba at (0.216, 0.250, 0.125), P at (0.000, 0.000, 0.500) and H at (0.000, 0.000, 0.000).

#c
Crystalline Ba2PH at its relaxed geometry, computed with PBE.

The calculation puts the total magnetization at 0.00 μB per formula unit.

It has space group R-3m (No. 166, hexagonal axes), with a = 4.5988 Å, b = 4.5988 Å, c = 20.9425 Å, α = 90.00°, β = 90.00° and γ = 120.00°. Symmetry generates all atoms from Ba at (0.0000, 0.0000, 0.2490), P at (0.0000, 0.0000, 0.5000) and H at (0.0000, 0.0000, 0.0000).

The least stable of the structures above is #a, whereas #c is the most stable.